Record 1
A plane-wave DFT calculation with PBE was carried out for crystalline Sm3Al4Ge2 at its relaxed geometry.

Computed properties:
ρ: 5.84 Mg/m³
Magnetization: 0.00 μB/cell
ΔE_f: -0.60 eV/atom

a = 5.993 Å, b = 5.993 Å, c = 8.550 Å
α = 101.92°, β = 101.92°, γ = 42.00°
Atoms (fractional coordinates):
Sm1 0.000 0.000 0.000
Sm2 0.332 0.332 0.336
Sm3 0.668 0.668 0.664
Al1 0.049 0.049 0.383
Al2 0.271 0.271 0.938
Al3 0.729 0.729 0.062
Al4 0.951 0.951 0.617
Ge1 0.388 0.388 0.721
Ge2 0.612 0.612 0.279

---

Record 2
A plane-wave DFT calculation with PBE was carried out for crystalline Sm8AlGe5 at its relaxed geometry.

Computed properties:
ρ: 7.06 Mg/m³
Magnetization: 0.00 μB/cell
ΔE_f: -0.71 eV/atom

a = 7.866 Å, b = 7.866 Å, c = 7.866 Å
α = 109.40°, β = 109.40°, γ = 109.61°
Atoms (fractional coordinates):
Sm1 0.015 0.126 0.757
Sm2 0.248 0.493 0.617
Sm3 0.369 0.257 0.243
Sm4 0.369 0.752 0.244
Sm5 0.507 0.125 0.756
Sm6 0.743 0.985 0.112
Sm7 0.874 0.631 0.888
Sm8 0.875 0.631 0.383
Al1 0.750 0.250 0.500
Ge1 0.129 0.004 0.379
Ge2 0.249 0.871 0.875
Ge3 0.500 0.500 0.000
Ge4 0.626 0.751 0.621
Ge5 0.996 0.374 0.125

---

Record 3
A plane-wave DFT calculation with PBE was carried out for crystalline Sm3Al2Ge4 at its relaxed geometry.

Computed properties:
ρ: 6.75 Mg/m³
Magnetization: 0.00 μB/cell
ΔE_f: -0.61 eV/atom
Relative energy among the computed polymorphs: 0.40 eV/f.u.

a = 6.033 Å, b = 6.033 Å, c = 8.801 Å
α = 110.88°, β = 110.88°, γ = 41.37°
Atoms (fractional coordinates):
Sm1 0.000 0.000 0.000
Sm2 0.378 0.378 0.306
Sm3 0.622 0.622 0.694
Al1 0.322 0.322 0.670
Al2 0.678 0.678 0.330
Ge1 0.092 0.092 0.405
Ge2 0.287 0.287 0.942
Ge3 0.713 0.713 0.058
Ge4 0.908 0.908 0.595

---

Record 4
A plane-wave DFT calculation with PBE was carried out for crystalline Sm4AlGe at its relaxed geometry.

Computed properties:
ρ: 6.30 Mg/m³
Magnetization: 0.00 μB/cell
ΔE_f: -0.15 eV/atom
Relative energy among the computed polymorphs: 1.55 eV/f.u.

a = 11.047 Å, b = 11.047 Å, c = 6.323 Å
α = 90.00°, β = 90.00°, γ = 151.40°
Atoms (fractional coordinates):
Sm1 0.064 0.936 0.750
Sm2 0.206 0.794 0.504
Sm3 0.206 0.794 0.996
Sm4 0.379 0.621 0.750
Sm5 0.621 0.379 0.250
Sm6 0.794 0.206 0.004
Sm7 0.794 0.206 0.496
Sm8 0.936 0.064 0.250
Al1 0.075 0.925 0.250
Al2 0.925 0.075 0.750
Ge1 0.339 0.661 0.250
Ge2 0.661 0.339 0.750

---

Record 5
A plane-wave DFT calculation with PBE was carried out for crystalline Sm3Al2Ge4 at its relaxed geometry.

Computed properties:
ρ: 6.44 Mg/m³
Magnetization: 0.00 μB/cell
ΔE_f: -0.66 eV/atom
Relative energy among the computed polymorphs: 0.00 eV/f.u.

a = 4.212 Å, b = 6.820 Å, c = 7.971 Å
α = 69.17°, β = 74.69°, γ = 90.00°
Atoms (fractional coordinates):
Sm1 0.000 0.000 0.000
Sm2 0.137 0.582 0.727
Sm3 0.863 0.418 0.273
Al1 0.331 0.022 0.340
Al2 0.669 0.978 0.660
Ge1 0.208 0.218 0.581
Ge2 0.499 0.690 0.001
Ge3 0.501 0.310 0.999
Ge4 0.792 0.782 0.419

---

Record 6
A plane-wave DFT calculation with PBE was carried out for crystalline Sm5Al2Ge4 at its relaxed geometry.

Computed properties:
ρ: 6.31 Mg/m³
Magnetization: 0.00 μB/cell
ΔE_f: -0.45 eV/atom

a = 9.874 Å, b = 9.874 Å, c = 7.333 Å
α = 105.38°, β = 105.38°, γ = 24.80°
Atoms (fractional coordinates):
Sm1 0.000 0.000 0.000
Sm2 0.337 0.337 0.058
Sm3 0.345 0.345 0.578
Sm4 0.655 0.655 0.422
Sm5 0.663 0.663 0.942
Al1 0.075 0.075 0.632
Al2 0.925 0.925 0.368
Ge1 0.211 0.211 0.711
Ge2 0.490 0.490 0.295
Ge3 0.510 0.510 0.705
Ge4 0.789 0.789 0.289